Computed, not measured: crystalline KZr2BF at its relaxed geometry at the PBE-GGA level of DFT.

```
KZr2BF
1.0
4.455 0.000 0.000
0.000 4.455 0.000
0.000 0.000 7.202
K Zr B F
1 2 1 1
direct
0.000 0.000 0.000
0.000 0.500 0.500
0.500 0.000 0.500
0.000 0.000 0.500
0.500 0.500 0.000
```

Computed properties:
Theoretical density = 2.9 g/cm³
Formation energy from raw total energies = -0.031 eV/atom
Magnetic moment = 1.05 μB per cell
E = -26.898 eV per formula unit
Symmetry = No. 123